# 1
La2Cr2N5: optimized geometry, PBE.

a = 3.848 Å, b = 3.848 Å, c = 7.493 Å
α = 90.00°, β = 90.00°, γ = 90.00°
Sites, in units of the cell vectors:
La: 0.000 0.000 0.000
La: 0.000 0.000 0.500
Cr: 0.500 0.500 0.263
Cr: 0.500 0.500 0.737
N: 0.500 0.000 0.230
N: 0.500 0.000 0.770
N: 0.500 0.500 0.500
N: 0.000 0.500 0.230
N: 0.000 0.500 0.770

E = -8.7877 eV/atom
DOS(E_F) = 3.63 states/eV/f.u.

=====

# 2
LaCrN3: optimized geometry, PBE.

a = 7.113 Å, b = 7.113 Å, c = 7.113 Å
α = 60.00°, β = 60.00°, γ = 60.00°
Sites, in units of the cell vectors:
Cr: 0.125 0.125 0.125
Cr: 0.625 0.125 0.125
Cr: 0.125 0.625 0.125
Cr: 0.125 0.125 0.625
N: 0.193 0.807 0.193
N: 0.443 0.057 0.443
N: 0.443 0.443 0.057
N: 0.057 0.443 0.057
N: 0.443 0.057 0.057
N: 0.193 0.807 0.807
N: 0.057 0.443 0.443
N: 0.057 0.057 0.443
N: 0.807 0.193 0.193
N: 0.807 0.193 0.807
N: 0.193 0.193 0.807
N: 0.807 0.807 0.193
La: 0.625 0.625 0.625
La: 0.125 0.625 0.625
La: 0.625 0.125 0.625
La: 0.625 0.625 0.125

E = -8.0682 eV/atom
DOS(E_F) = 3.54 states/eV/f.u.

=====

# 3
LaCrN3: optimized geometry, PBE.

a = 3.618 Å, b = 3.618 Å, c = 5.257 Å
α = 89.53°, β = 89.53°, γ = 72.94°
Sites, in units of the cell vectors:
Cr: 0.816 0.266 0.471
N: 0.955 0.736 0.347
N: 0.810 0.260 0.800
N: 0.286 0.404 0.347
La: 0.418 0.867 0.998

E = -8.5319 eV/atom
DOS(E_F) = 0.00 states/eV/f.u.

=====

# 4
La3Cr5N12: optimized geometry, PBE.

a = 10.915 Å, b = 10.915 Å, c = 10.915 Å
α = 109.47°, β = 109.47°, γ = 109.47°
Last column: magnetic moment on the atom in μB.
Sites, in units of the cell vectors:
La: 0.750 0.375 0.125  -0.01
La: 0.875 0.750 0.125  -0.01
La: 0.375 0.750 0.625  -0.01
La: 0.250 0.125 0.375  -0.01
La: 0.875 0.125 0.250  -0.01
La: 0.375 0.625 0.250  -0.01
La: 0.625 0.375 0.750  -0.01
La: 0.125 0.875 0.750  -0.01
La: 0.750 0.875 0.625  -0.01
La: 0.625 0.250 0.375  -0.01
La: 0.125 0.250 0.875  -0.01
La: 0.250 0.625 0.875  -0.01
Cr: 0.125 0.375 0.250  0.29
Cr: 0.000 0.500 0.000  1.58
Cr: 0.000 0.000 0.000  1.58
Cr: 0.375 0.250 0.125  0.29
Cr: 0.500 0.000 0.500  1.58
Cr: 0.500 0.500 0.000  1.58
Cr: 0.125 0.750 0.375  0.29
Cr: 0.750 0.125 0.875  0.29
Cr: 0.750 0.625 0.375  0.29
Cr: 0.375 0.125 0.750  0.29
Cr: 0.625 0.875 0.250  0.29
Cr: 0.500 0.500 0.500  1.58
Cr: 0.500 0.000 0.000  1.58
Cr: 0.000 0.000 0.500  1.58
Cr: 0.250 0.375 0.625  0.29
Cr: 0.250 0.875 0.125  0.29
Cr: 0.000 0.500 0.500  1.58
Cr: 0.875 0.250 0.625  0.29
Cr: 0.625 0.750 0.875  0.29
Cr: 0.875 0.625 0.750  0.29
N: 0.689 0.110 0.002  -0.08
N: 0.313 0.502 0.392  -0.08
N: 0.998 0.390 0.311  -0.08
N: 0.502 0.189 0.110  -0.08
N: 0.579 0.689 0.687  -0.08
N: 0.998 0.608 0.187  -0.08
N: 0.313 0.811 0.421  -0.08
N: 0.108 0.921 0.110  -0.08
N: 0.608 0.998 0.687  -0.08
N: 0.689 0.579 0.187  -0.08
N: 0.811 0.498 0.390  -0.08
N: 0.813 0.892 0.002  -0.08
N: 0.110 0.689 0.502  -0.08
N: 0.390 0.392 0.079  -0.08
N: 0.079 0.892 0.390  -0.08
N: 0.421 0.110 0.608  -0.08
N: 0.079 0.187 0.189  -0.08
N: 0.498 0.687 0.108  -0.08
N: 0.813 0.921 0.311  -0.08
N: 0.110 0.421 0.108  -0.08
N: 0.390 0.998 0.811  -0.08
N: 0.608 0.610 0.421  -0.08
N: 0.892 0.813 0.502  -0.08
N: 0.811 0.313 0.921  -0.08
N: 0.392 0.390 0.579  -0.08
N: 0.108 0.187 0.498  -0.08
N: 0.189 0.687 0.079  -0.08
N: 0.187 0.079 0.689  -0.08
N: 0.610 0.002 0.189  -0.08
N: 0.890 0.579 0.892  -0.08
N: 0.502 0.313 0.892  -0.08
N: 0.579 0.890 0.392  -0.08
N: 0.921 0.813 0.811  -0.08
N: 0.921 0.108 0.610  -0.08
N: 0.890 0.311 0.498  -0.08
N: 0.187 0.108 0.998  -0.08
N: 0.610 0.608 0.921  -0.08
N: 0.392 0.002 0.313  -0.08
N: 0.311 0.421 0.813  -0.08
N: 0.189 0.502 0.610  -0.08
N: 0.892 0.079 0.890  -0.08
N: 0.687 0.189 0.579  -0.08
N: 0.498 0.811 0.890  -0.08
N: 0.002 0.392 0.813  -0.08
N: 0.421 0.311 0.313  -0.08
N: 0.002 0.610 0.689  -0.08
N: 0.687 0.498 0.608  -0.08
N: 0.311 0.890 0.998  -0.08

E = -8.7736 eV/atom
DOS(E_F) = 6.62 states/eV/f.u.

=====

# 5
LaCrN3: optimized geometry, PBE.

a = 4.118 Å, b = 4.118 Å, c = 7.870 Å
α = 90.00°, β = 90.00°, γ = 120.00°
Sites, in units of the cell vectors:
Cr: 0.000 0.000 0.000
Cr: 0.000 0.000 0.500
N: 0.000 0.000 0.250
N: 0.000 0.000 0.750
N: 0.333 0.667 0.053
N: 0.333 0.667 0.447
N: 0.667 0.333 0.553
N: 0.667 0.333 0.947
La: 0.333 0.667 0.750
La: 0.667 0.333 0.250

E = -7.7461 eV/atom
DOS(E_F) = 3.17 states/eV/f.u.

=====

# 6
La2CrN4: optimized geometry, PBE.

a = 5.575 Å, b = 7.315 Å, c = 10.115 Å
α = 90.00°, β = 90.00°, γ = 90.00°
Sites, in units of the cell vectors:
La: 0.750 0.516 0.309
La: 0.250 0.484 0.691
La: 0.250 0.984 0.809
La: 0.750 0.016 0.191
La: 0.750 0.845 0.573
La: 0.250 0.155 0.427
La: 0.250 0.655 0.073
La: 0.750 0.345 0.927
Cr: 0.750 0.776 0.926
Cr: 0.250 0.224 0.074
Cr: 0.250 0.724 0.426
Cr: 0.750 0.276 0.574
N: 0.496 0.679 0.857
N: 0.504 0.321 0.143
N: 0.504 0.821 0.357
N: 0.996 0.321 0.143
N: 0.496 0.179 0.643
N: 0.004 0.679 0.857
N: 0.004 0.179 0.643
N: 0.996 0.821 0.357
N: 0.750 0.012 0.914
N: 0.250 0.988 0.086
N: 0.250 0.488 0.414
N: 0.750 0.512 0.586
N: 0.750 0.208 0.408
N: 0.250 0.792 0.592
N: 0.250 0.292 0.908
N: 0.750 0.708 0.092

energy relative to the lowest polymorph listed for this composition = 0.0 kJ per mole of atoms
E = -8.7202 eV/atom

=====

# 7
LaCrN3: optimized geometry, PBE.

a = 5.199 Å, b = 6.798 Å, c = 4.182 Å
α = 107.89°, β = 90.00°, γ = 90.00°
Last column: magnetic moment on the atom in μB.
Sites, in units of the cell vectors:
Cr: 0.047 0.892 0.879  1.89
Cr: 0.547 0.597 0.731  1.89
N: 0.693 0.854 0.860  -0.08
N: 0.193 0.636 0.750  -0.08
N: 0.107 0.081 0.311  -0.05
N: 0.607 0.409 0.975  -0.05
N: 0.607 0.409 0.299  -0.05
N: 0.107 0.081 0.635  -0.05
La: 0.109 0.423 0.144  0.06
La: 0.609 0.067 0.466  0.06

E = -8.6563 eV/atom
DOS(E_F) = 1.03 states/eV/f.u.

=====

# 8
La2CrN2: optimized geometry, PBE.

a = 4.381 Å, b = 4.381 Å, c = 6.965 Å
α = 71.67°, β = 71.67°, γ = 90.00°
Last column: magnetic moment on the atom in μB.
Sites, in units of the cell vectors:
Cr: 0.000 0.000 0.000  4.28
N: 0.750 0.250 0.500  -0.02
N: 0.250 0.750 0.500  -0.02
La: 0.329 0.329 0.343  0.03
La: 0.671 0.671 0.657  0.03

E = -7.5230 eV/atom
DOS(E_F) = 7.36 states/eV/f.u.

=====

# 9
LaCrN3: optimized geometry, PBE.

a = 3.406 Å, b = 3.406 Å, c = 11.691 Å
α = 81.62°, β = 81.62°, γ = 90.00°
Last column: magnetic moment on the atom in μB.
Sites, in units of the cell vectors:
Cr: 0.632 0.132 0.735  0.45
Cr: 0.868 0.368 0.265  0.41
N: 0.215 0.900 0.200  -0.03
N: 0.100 0.785 0.800  -0.02
N: 0.100 0.415 0.800  -0.02
N: 0.585 0.900 0.200  -0.03
N: 0.323 0.323 0.355  -0.02
N: 0.677 0.677 0.645  -0.03
La: 0.000 0.000 0.000  -0.12
La: 0.250 0.750 0.500  -0.01

E = -7.9425 eV/atom
DOS(E_F) = 2.49 states/eV/f.u.

=====

# 10
LaCrN3: optimized geometry, PBE.

a = 11.296 Å, b = 7.744 Å, c = 7.744 Å
α = 81.51°, β = 125.74°, γ = 54.26°
Sites, in units of the cell vectors:
Cr: 0.750 0.088 0.588
Cr: 0.250 0.912 0.412
Cr: 0.750 0.587 0.087
Cr: 0.250 0.413 0.913
N: 0.621 0.178 0.659
N: 0.879 0.159 0.678
N: 0.379 0.822 0.341
N: 0.121 0.841 0.322
N: 0.000 0.336 0.164
N: 0.500 0.664 0.836
N: 0.000 0.664 0.836
N: 0.500 0.336 0.164
N: 0.621 0.917 0.920
N: 0.879 0.420 0.417
N: 0.379 0.083 0.080
N: 0.121 0.580 0.583
La: 0.201 0.440 0.342
La: 0.299 0.842 0.940
La: 0.799 0.560 0.658
La: 0.701 0.158 0.060

E = -8.6439 eV/atom
DOS(E_F) = 0.00 states/eV/f.u.

=====

# 11
LaCrN3: optimized geometry, PBE.

a = 3.849 Å, b = 3.849 Å, c = 4.645 Å
α = 90.00°, β = 90.00°, γ = 90.00°
Sites, in units of the cell vectors:
Cr: 0.500 0.500 0.552
N: 0.000 0.000 0.554
N: 0.500 0.000 0.552
N: 0.000 0.500 0.552
La: 0.000 0.000 0.054

E = -7.4998 eV/atom
DOS(E_F) = 4.46 states/eV/f.u.

=====

# 12
LaCrN3: optimized geometry, PBE.

a = 17.835 Å, b = 5.158 Å, c = 6.517 Å
α = 90.00°, β = 149.81°, γ = 90.00°
Sites, in units of the cell vectors:
Cr: 0.483 0.729 0.553
Cr: 0.517 0.271 0.447
Cr: 0.017 0.229 0.947
Cr: 0.983 0.771 0.053
N: 0.351 0.926 0.139
N: 0.649 0.074 0.861
N: 0.149 0.426 0.361
N: 0.851 0.574 0.639
N: 0.398 0.411 0.374
N: 0.602 0.589 0.626
N: 0.102 0.911 0.126
N: 0.898 0.089 0.874
N: 0.537 0.784 0.930
N: 0.463 0.216 0.070
N: 0.963 0.284 0.570
N: 0.037 0.716 0.430
La: 0.140 0.244 0.701
La: 0.860 0.756 0.299
La: 0.360 0.744 0.799
La: 0.640 0.256 0.201

E = -8.6255 eV/atom
DOS(E_F) = 0.00 states/eV/f.u.

=====

# 13
LaCrN3: optimized geometry, PBE.

a = 10.283 Å, b = 7.236 Å, c = 7.236 Å
α = 90.23°, β = 125.93°, γ = 54.07°
Sites, in units of the cell vectors:
Cr: 0.257 0.370 0.457
Cr: 0.243 0.957 0.870
Cr: 0.743 0.630 0.543
Cr: 0.757 0.043 0.130
N: 0.339 0.431 0.341
N: 0.161 0.841 0.931
N: 0.661 0.569 0.659
N: 0.839 0.159 0.069
N: 0.157 0.251 0.301
N: 0.343 0.801 0.751
N: 0.843 0.749 0.699
N: 0.657 0.199 0.249
N: 0.509 0.131 0.827
N: 0.991 0.327 0.631
N: 0.491 0.869 0.173
N: 0.009 0.673 0.369
La: 0.750 0.153 0.653
La: 0.250 0.847 0.347
La: 0.750 0.585 0.085
La: 0.250 0.415 0.915

E = -8.7531 eV/atom
DOS(E_F) = 0.00 states/eV/f.u.

=====

# 14
LaCrN3: optimized geometry, PBE.

a = 5.564 Å, b = 6.028 Å, c = 3.699 Å
α = 100.11°, β = 90.00°, γ = 90.00°
Sites, in units of the cell vectors:
Cr: 0.076 0.938 0.087
Cr: 0.576 0.552 0.982
N: 0.834 0.745 0.012
N: 0.334 0.745 0.058
N: 0.101 0.062 0.618
N: 0.469 0.288 0.176
N: 0.600 0.427 0.451
N: 0.969 0.202 0.893
La: 0.085 0.481 0.456
La: 0.585 0.009 0.613

E = -8.6582 eV/atom
DOS(E_F) = 2.30 states/eV/f.u.

=====

# 15
La2CrN2: optimized geometry, PBE.

a = 7.383 Å, b = 7.383 Å, c = 3.235 Å
α = 90.00°, β = 90.00°, γ = 90.00°
Last column: magnetic moment on the atom in μB.
Sites, in units of the cell vectors:
Cr: 0.000 0.000 0.000  4.07
Cr: 0.500 0.500 0.000  4.08
N: 0.162 0.662 0.500  0.12
N: 0.662 0.838 0.500  0.12
N: 0.838 0.338 0.500  0.12
N: 0.338 0.162 0.500  0.12
La: 0.351 0.851 0.000  0.10
La: 0.851 0.649 0.000  0.11
La: 0.649 0.149 0.000  0.10
La: 0.149 0.351 0.000  0.11

E = -7.1542 eV/atom
DOS(E_F) = 1.91 states/eV/f.u.

=====

# 16
La3CrN5: optimized geometry, PBE.

a = 6.875 Å, b = 6.875 Å, c = 7.459 Å
α = 117.44°, β = 117.44°, γ = 90.00°
Sites, in units of the cell vectors:
La: 0.675 0.175 0.000
La: 0.325 0.825 0.000
La: 0.825 0.675 0.000
La: 0.175 0.325 0.000
La: 0.250 0.250 0.500
La: 0.750 0.750 0.500
Cr: 0.750 0.250 0.500
Cr: 0.250 0.750 0.500
N: 0.986 0.486 0.687
N: 0.701 0.201 0.687
N: 0.201 0.986 0.687
N: 0.486 0.701 0.687
N: 0.014 0.514 0.313
N: 0.299 0.799 0.313
N: 0.799 0.014 0.313
N: 0.514 0.299 0.313
N: 0.500 0.500 0.000
N: 0.000 0.000 0.000

E = -8.5560 eV/atom